No. 1
## Hf2Zr2Ta (PBE-GGA)

Data for crystalline Hf2Zr2Ta at its relaxed geometry.

Summary:
SG: I4/mmm, No. 139
total magnetic moment: 0.0 μB/f.u.
energy: -0.3356 hartree per atom

Cell: 7.611 7.611 7.611 Å, 149.24 149.24 44.06°
Element x y z (fractional)
Hf 0.250 0.750 0.500
Hf 0.750 0.250 0.500
Zr 0.091 0.091 0.000
Zr 0.909 0.909 0.000
Ta 0.500 0.500 0.000



No. 2
## Hf2Zr2Ta (PBE-GGA)

Data for crystalline Hf2Zr2Ta at its relaxed geometry.

Summary:
SG: I4/mmm, No. 139
total magnetic moment: 0.0 μB/f.u.
energy: -0.3356 hartree per atom

Cell: 7.679 7.679 7.679 Å, 149.74 149.74 43.32°
Element x y z (fractional)
Hf 0.092 0.092 0.000
Hf 0.908 0.908 0.000
Zr 0.250 0.750 0.500
Zr 0.750 0.250 0.500
Ta 0.500 0.500 0.000



No. 3
## HfZrTa (PBE-GGA)

Data for crystalline HfZrTa at its relaxed geometry.

Summary:
SG: F-43m, No. 216
total magnetic moment: 0.0 μB/f.u.
energy: -0.3441 hartree per atom

Cell: 4.658 4.658 4.658 Å, 60.00 60.00 60.00°
Element x y z (fractional)
Hf 0.000 0.000 0.000
Zr 0.500 0.500 0.500
Ta 0.250 0.250 0.250



No. 4
## HfZrTa2 (PBE-GGA)

Data for crystalline HfZrTa2 at its relaxed geometry.

Summary:
SG: F-43m, No. 216
total magnetic moment: 0.0 μB/f.u.
energy: -0.3827 hartree per atom

Cell: 4.840 4.840 4.840 Å, 60.00 60.00 60.00°
Element x y z (fractional)
Hf 0.000 0.000 0.000
Zr 0.750 0.750 0.750
Ta 0.250 0.250 0.250
Ta 0.500 0.500 0.500



What is the total magnetic moment in the first record? 0.0 μB/f.u.